(1)
Here is a relaxed structure of Hf2ScRh from the Alexandria database. Energies are from PBE-GGA.

a b c (Å): 6.215 6.215 6.215
angles (deg): 102.64 102.64 124.23
Positions (direct):
Hf (0.067, 0.625, 0.942)
Hf (0.375, 0.317, 0.442)
Hf (0.683, 0.125, 0.058)
Hf (0.875, 0.933, 0.558)
Sc (0.250, 0.750, 0.500)
Sc (0.500, 0.500, 0.000)
Rh (0.000, 0.000, 0.000)
Rh (0.750, 0.250, 0.500)

Computed properties:
E_tot in eV/atom: -8.543
Crystal system: tetragonal
Volume in Å³ per cell: 175.47
Size of the total moment in μB per cell: 0.0
Energy of formation in meV/atom: -146

---

(2)
Here is a relaxed structure of HfSc2Rh2 from the Alexandria database. Energies are from PBE-GGA.

a b c (Å): 7.819 7.819 2.977
angles (deg): 90.00 90.00 90.00
Positions (direct):
Hf (0.000, 0.000, 0.000)
Hf (0.500, 0.500, 0.000)
Sc (0.133, 0.367, 0.000)
Sc (0.367, 0.867, 0.000)
Sc (0.633, 0.133, 0.000)
Sc (0.867, 0.633, 0.000)
Rh (0.170, 0.670, 0.500)
Rh (0.330, 0.170, 0.500)
Rh (0.670, 0.830, 0.500)
Rh (0.830, 0.330, 0.500)

Computed properties:
E_tot in eV/atom: -7.997
Crystal system: tetragonal
Excess energy over the best structure of this formula in the dataset in meV per atom: 181
Volume in Å³ per cell: 181.98
Size of the total moment in μB per cell: 0.0
Energy of formation in meV/atom: -533

---

(3)
Here is a relaxed structure of HfSc4Rh2 from the Alexandria database. Energies are from PBE-GGA.

a b c (Å): 8.715 8.715 8.715
angles (deg): 31.32 31.32 31.32
Positions (direct):
Hf (0.000, 0.000, 0.000)
Sc (0.204, 0.204, 0.204)
Sc (0.395, 0.395, 0.395)
Sc (0.605, 0.605, 0.605)
Sc (0.796, 0.796, 0.796)
Rh (0.101, 0.101, 0.101)
Rh (0.899, 0.899, 0.899)

Computed properties:
E_tot in eV/atom: -7.435
Crystal system: trigonal
Volume in Å³ per cell: 158.74
Size of the total moment in μB per cell: 0.0
Energy of formation in meV/atom: -295